Below is NaCdI2O6 after structural relaxation, with properties calculated at the PBE-GGA level.

```
NaCdI2O6
1.0
-1.532 6.586 0.016
-2.883 1.204 6.535
6.253 3.342 1.486
Na Cd I O
2 2 4 12
direct
0.250 0.271 0.729 Na
0.750 0.729 0.271 Na
0.250 0.937 0.063 Cd
0.750 0.063 0.937 Cd
0.199 0.809 0.556 I
0.301 0.444 0.191 I
0.801 0.191 0.444 I
0.699 0.556 0.809 I
0.124 0.994 0.795 O
0.376 0.205 0.006 O
0.876 0.006 0.205 O
0.624 0.795 0.994 O
0.213 0.005 0.402 O
0.287 0.598 0.995 O
0.787 0.995 0.598 O
0.713 0.402 0.005 O
0.982 0.546 0.720 O
0.518 0.280 0.454 O
0.018 0.454 0.280 O
0.482 0.720 0.546 O
```

Calculated values
The calculation puts the size of the total moment at 0.000 μB per formula unit. The value obtained for the density of states at the Fermi level is 0.31 states/eV per atom. The uncorrected formation energy comes out at -0.613 eV per atom. Its space group is No. 15.



Below is Li2CdH after structural relaxation, with properties calculated at the PBE-GGA level.

```
Li2CdH
1.0
-0.317 -3.898 4.007
-2.437 -3.516 -3.613
2.037 -5.029 -0.819
H Li Cd
2 4 2
direct
0.500 0.500 0.000 H
0.250 0.750 0.500 H
0.434 0.125 0.250 Li
0.316 0.625 0.250 Li
0.375 0.566 0.750 Li
0.875 0.684 0.750 Li
0.000 0.000 0.000 Cd
0.750 0.250 0.500 Cd
```

Calculated values
The value obtained for the energy above the most stable polymorph in this dataset is 1.37 kcal/mol of atoms. The calculation puts the size of the total moment at 0.000 μB per formula unit. The value obtained for the density of states at the Fermi level is 0.40 states/eV per atom. Its space group is No. 122.



Below is Re2BiF after structural relaxation, with properties calculated at the PBE-GGA level.

```
Re2BiF
1.0
3.593 0.000 0.000
0.000 3.593 0.000
1.797 1.797 11.408
Re Bi F
4 2 2
direct
0.115 0.125 0.250 Re
0.635 0.625 0.250 Re
0.375 0.885 0.750 Re
0.875 0.365 0.750 Re
0.000 0.000 0.000 Bi
0.750 0.250 0.500 Bi
0.500 0.500 0.000 F
0.250 0.750 0.500 F
```

Calculated values
The value obtained for the energy above the most stable polymorph in this dataset is 0.00 kcal/mol of atoms. The calculation puts the size of the total moment at 0.000 μB per formula unit. The value obtained for the density of states at the Fermi level is 0.72 states/eV per atom. The uncorrected formation energy comes out at 0.425 eV per atom. Its space group is No. 122.



Below is RbPtF after structural relaxation, with properties calculated at the PBE-GGA level.

```
RbPtF
1.0
4.586 0.000 0.001
0.000 4.095 0.000
2.285 0.000 8.075
Pt Rb F
2 2 2
direct
0.785 0.931 0.829 Pt
0.704 0.431 0.990 Pt
0.094 0.932 0.210 Rb
0.394 0.432 0.609 Rb
0.920 0.935 0.559 F
0.569 0.436 0.259 F
```

Calculated values
The value obtained for the energy above the most stable polymorph in this dataset is 4.42 kcal/mol of atoms. The calculation puts the size of the total moment at 0.000 μB per formula unit. The value obtained for the density of states at the Fermi level is 0.00 states/eV per atom. The uncorrected formation energy comes out at -1.155 eV per atom. Its space group is No. 36.



Below is PmEr3 after structural relaxation, with properties calculated at the PBE-GGA level.

```
PmEr3
1.0
-1.503 3.246 3.505
-3.708 1.524 -3.001
-3.012 -3.496 1.946
Pm Er
1 3
direct
0.000 0.000 0.000 Pm
0.000 0.500 0.500 Er
0.500 0.000 0.500 Er
0.500 0.500 0.000 Er
```

Calculated values
The value obtained for the energy above the most stable polymorph in this dataset is 0.35 kcal/mol of atoms. The calculation puts the size of the total moment at 0.002 μB per formula unit. The value obtained for the density of states at the Fermi level is 1.42 states/eV per atom. Its space group is No. 221.



Below is KScTi after structural relaxation, with properties calculated at the PBE-GGA level.

```
KScTi
1.0
-9.458 -5.863 6.129
3.154 -3.464 -0.205
-0.939 2.073 4.098
Sc K Ti
2 2 2
direct
0.065 0.716 0.521 Sc
0.193 0.048 0.060 Sc
0.425 0.380 0.494 K
0.740 0.719 0.844 K
0.961 0.050 0.291 Ti
0.060 0.383 0.859 Ti
```

Calculated values
The value obtained for the energy above the most stable polymorph in this dataset is 5.82 kcal/mol of atoms. The calculation puts the size of the total moment at 0.451 μB per formula unit. The value obtained for the density of states at the Fermi level is 0.92 states/eV per atom. Its space group is No. 1.